[1]
# Ba4Mg3 | Alexandria via LeMat-Bulk | GGA-PBE | relaxed
# excess energy over the best structure of this formula in the dataset: 0.052 eV/atom
data_Ba4Mg3
_chemical_formula_sum 'Ba4 Mg3'
_cell_length_a 6.8803
_cell_length_b 6.8803
_cell_length_c 7.4343
_cell_angle_alpha 90.00
_cell_angle_beta 90.00
_cell_angle_gamma 120.00
_space_group_name_H-M_alt 'P 6/m m m'
_space_group_IT_number 191
_space_group_name_Hall '-P 6 2'
loop_
_atom_site_label
_atom_site_type_symbol
_atom_site_fract_x
_atom_site_fract_y
_atom_site_fract_z
Ba1 Ba 0.0000 0.0000 0.2403
Ba2 Ba 0.3333 0.6667 0.5000
Mg1 Mg 0.0000 0.5000 0.0000



[2]
## BaMg2 (GGA-PBE)

Data for a relaxed BaMg2 crystal.

Cell and atoms, written as CIF:
```
data_BaMg2
_chemical_formula_sum 'Ba4 Mg8'
_cell_length_a 8.253
_cell_length_b 8.253
_cell_length_c 8.253
_cell_angle_alpha 90.00
_cell_angle_beta 90.00
_cell_angle_gamma 90.00
_space_group_name_H-M_alt 'P a -3'
_space_group_IT_number 205
_space_group_name_Hall '-P 2ac 2ab 3'
loop_
_atom_site_label
_atom_site_type_symbol
_atom_site_fract_x
_atom_site_fract_y
_atom_site_fract_z
Ba1 Ba 0.000 0.000 0.000
Mg1 Mg 0.105 0.605 0.895
```



[3]
## Ba5Mg2 (GGA-PBE)

Data for a relaxed Ba5Mg2 crystal.

Cell and atoms, written as CIF:
```
data_Ba5Mg2
_chemical_formula_sum 'Ba20 Mg8'
_cell_length_a 9.273
_cell_length_b 18.625
_cell_length_c 8.216
_cell_angle_alpha 90.00
_cell_angle_beta 90.00
_cell_angle_gamma 90.00
_space_group_name_H-M_alt 'I b a m'
_space_group_IT_number 72
_space_group_name_Hall '-I 2 2c'
loop_
_atom_site_label
_atom_site_type_symbol
_atom_site_fract_x
_atom_site_fract_y
_atom_site_fract_z
Ba1 Ba 0.000 0.000 0.250
Ba2 Ba 0.000 0.229 0.250
Ba3 Ba 0.149 0.417 0.000
Mg1 Mg 0.240 0.378 0.500
```



[4]
## BaMg3 (GGA-PBE)

Data for a relaxed BaMg3 crystal.

Cell and atoms, written as CIF:
```
data_BaMg3
_chemical_formula_sum 'Ba2 Mg6'
_cell_length_a 10.530
_cell_length_b 3.622
_cell_length_c 6.875
_cell_angle_alpha 90.00
_cell_angle_beta 100.39
_cell_angle_gamma 90.00
_space_group_name_H-M_alt 'C 1 2/m 1'
_space_group_IT_number 12
loop_
_space_group_symop_operation_xyz
'x,y,z'
'-x,-y,-z'
'-x,y,-z'
'x,-y,z'
'x+1/2,y+1/2,z'
'-x+1/2,-y+1/2,-z'
'-x+1/2,y+1/2,-z'
'x+1/2,-y+1/2,z'
loop_
_atom_site_label
_atom_site_type_symbol
_atom_site_fract_x
_atom_site_fract_y
_atom_site_fract_z
Ba1 Ba 0.000 0.000 0.000
Mg1 Mg 0.000 0.500 0.500
Mg2 Mg 0.236 0.000 0.683
```



[5]
# Ba5Mg4 | Alexandria via LeMat-Bulk | GGA-PBE | relaxed
# excess energy over the best structure of this formula in the dataset: 0.000 eV/atom
data_Ba5Mg4
_chemical_formula_sum 'Ba10 Mg8'
_cell_length_a 11.1259
_cell_length_b 11.1259
_cell_length_c 7.6446
_cell_angle_alpha 90.00
_cell_angle_beta 90.00
_cell_angle_gamma 120.00
_space_group_name_H-M_alt 'P 63/m c m'
_space_group_IT_number 193
_space_group_name_Hall '-P 6c 2'
loop_
_atom_site_label
_atom_site_type_symbol
_atom_site_fract_x
_atom_site_fract_y
_atom_site_fract_z
Ba1 Ba 0.0000 0.2886 0.2500
Ba2 Ba 0.3333 0.6667 0.0000
Mg1 Mg 0.0000 0.0000 0.0000
Mg2 Mg 0.0000 0.3791 0.7500



[6]
## BaMg3 (GGA-PBE)

Data for a relaxed BaMg3 crystal.

Cell and atoms, written as CIF:
```
data_BaMg3
_chemical_formula_sum 'Ba2 Mg6'
_cell_length_a 6.418
_cell_length_b 6.418
_cell_length_c 6.418
_cell_angle_alpha 90.00
_cell_angle_beta 90.00
_cell_angle_gamma 90.00
_space_group_name_H-M_alt 'P m -3 n'
_space_group_IT_number 223
_space_group_name_Hall '-P 4n 2 3'
loop_
_atom_site_label
_atom_site_type_symbol
_atom_site_fract_x
_atom_site_fract_y
_atom_site_fract_z
Ba1 Ba 0.000 0.000 0.000
Mg1 Mg 0.000 0.250 0.500
```



[7]
# Ba5Mg4 | Alexandria via LeMat-Bulk | GGA-PBE | relaxed
# excess energy over the best structure of this formula in the dataset: 0.041 eV/atom
data_Ba5Mg4
_chemical_formula_sum 'Ba10 Mg8'
_cell_length_a 11.582
_cell_length_b 11.582
_cell_length_c 5.608
_cell_angle_alpha 90.00
_cell_angle_beta 90.00
_cell_angle_gamma 90.00
_space_group_name_H-M_alt 'I 4/m m m'
_space_group_IT_number 139
_space_group_name_Hall '-I 4 2'
loop_
_atom_site_label
_atom_site_type_symbol
_atom_site_fract_x
_atom_site_fract_y
_atom_site_fract_z
Ba1 Ba 0.000 0.000 0.000
Ba2 Ba 0.176 0.176 0.500
Mg1 Mg 0.000 0.362 0.000



[8]
## BaMg3 (GGA-PBE)

Data for a relaxed BaMg3 crystal.

Cell and atoms, written as CIF:
```
data_BaMg3
_chemical_formula_sum 'Ba1 Mg3'
_cell_length_a 5.106
_cell_length_b 5.106
_cell_length_c 5.106
_cell_angle_alpha 90.00
_cell_angle_beta 90.00
_cell_angle_gamma 90.00
_space_group_name_H-M_alt 'P m -3 m'
_space_group_IT_number 221
_space_group_name_Hall '-P 4 2 3'
loop_
_atom_site_label
_atom_site_type_symbol
_atom_site_fract_x
_atom_site_fract_y
_atom_site_fract_z
Ba1 Ba 0.000 0.000 0.000
Mg1 Mg 0.000 0.500 0.500
```



Number 1: magnetization 0.00 μB per atom, DOS at the Fermi energy 8.43 states/eV/cell, energy relative to the elements 42 meV per atom. Number 2: magnetization 0.00 μB per atom, DOS at the Fermi energy 10.68 states/eV/cell, energy relative to the elements 534 meV per atom. Number 3: magnetization 0.00 μB per atom, DOS at the Fermi energy 40.15 states/eV/cell, energy relative to the elements 12 meV per atom. Number 4: magnetization 0.00 μB per atom, DOS at the Fermi energy 5.30 states/eV/cell, energy relative to the elements 63 meV per atom. Number 5: magnetization 0.00 μB per atom, DOS at the Fermi energy 23.18 states/eV/cell, energy relative to the elements 38 meV per atom. Number 6: magnetization 0.00 μB per atom, DOS at the Fermi energy 4.98 states/eV/cell, energy relative to the elements 113 meV per atom. Number 7: magnetization 0.00 μB per atom, DOS at the Fermi energy 23.39 states/eV/cell, energy relative to the elements 79 meV per atom. Number 8: magnetization 0.00 μB per atom, DOS at the Fermi energy 3.28 states/eV/cell, energy relative to the elements 79 meV per atom.